VASP calculation (SCAN) on Al2ZnRh at its PBEsol-relaxed geometry.

Values from the calculation:
VASP energy ... -253.18 eV for the cell shown
Magnetic moment ... 0.00 μB per cell

abc: 7.1260 7.1260 5.1240
angles: 90.00 90.00 90.00
Closest atoms and distances in Å follow each position.
Space group I-42d (No. 122)
Asymmetric unit:
Al 0.2111 0.2500 0.1250 [8 per cell]  2 Rh 2.42, 2 Al 2.62
Zn 0.0000 0.0000 0.5000 [4 per cell]  2 Rh 2.56, 4 Al 2.80
Rh 0.0000 0.0000 0.0000 [4 per cell]  4 Al 2.42, 2 Zn 2.56

---

VASP calculation (SCAN) on Na3AsH14SO10 at its PBEsol-relaxed geometry.

Values from the calculation:
VASP energy ... -377.46 eV for the cell shown
Magnetic moment ... 0.23 μB per cell

abc: 6.6434 12.6545 6.8714
angles: 90.00 90.55 90.00
Closest atoms and distances in Å follow each position.
Space group P2_1 (No. 4)
Asymmetric unit:
Na 0.2078 0.0000 0.3310 [2 per cell]  3 O 2.27-2.33
Na 0.2089 0.7436 0.2096 [2 per cell]  4 O 2.33-2.42
Na 0.2155 0.6419 0.6673 [2 per cell]  5 O 2.37-2.47
As 0.2076 0.3625 0.2045 [2 per cell]  3 O 1.72-1.74
H 0.0016 0.5447 0.3231 [2 per cell]  1 O 1.01
H 0.1230 0.1520 0.6354 [2 per cell]  1 O 1.00
H 0.1703 0.8581 0.6189 [2 per cell]  1 O 1.02
H 0.1866 0.9143 0.9434 [2 per cell]  1 O 1.00
H 0.1967 0.4262 0.6047 [2 per cell]  1 O 1.00
H 0.2043 0.4434 0.8369 [2 per cell]  1 O 1.01
H 0.3013 0.2395 0.8113 [2 per cell]  1 O 0.99
H 0.3331 0.2805 0.5831 [2 per cell]  1 O 1.02
H 0.3624 0.5610 0.0150 [2 per cell]  1 O 1.01
H 0.4055 0.8387 0.5653 [2 per cell]  1 O 1.00
H 0.4232 0.9111 0.0072 [2 per cell]  1 O 1.01
H 0.4416 0.4959 0.4514 [2 per cell]  1 O 1.00
H 0.4537 0.1113 0.5860 [2 per cell]  1 O 1.00
H 0.4865 0.1547 0.0438 [2 per cell]  1 O 0.99
S 0.1623 0.2041 0.1021 [2 per cell]  1 As 2.14, 2 H 2.25-2.28
O 0.0103 0.6167 0.3873 [2 per cell]  2 H 1.00-1.01
O 0.0201 0.9236 0.7555 [2 per cell]  3 H 1.61-1.70, 1 As 1.72
O 0.1217 0.4577 0.7154 [2 per cell]  2 H 1.00-1.01
O 0.2643 0.8195 0.5269 [2 per cell]  2 H 1.00-1.02
O 0.2814 0.9039 0.0565 [2 per cell]  2 H 1.00-1.01
O 0.3390 0.2184 0.6771 [2 per cell]  2 H 0.99-1.02
O 0.3385 0.4343 0.0358 [2 per cell]  3 H 1.62-1.64, 1 As 1.72
O 0.3435 0.3710 0.4213 [2 per cell]  4 H 1.60-1.75, 1 As 1.74
O 0.3698 0.6387 0.9805 [2 per cell]  2 H 0.99-1.01
O 0.5000 0.0603 0.4852 [2 per cell]  2 H 1.00

---

VASP calculation (SCAN) on YSiBi3 at its PBEsol-relaxed geometry.

Values from the calculation:
VASP energy ... -271.84 eV for the cell shown
Magnetic moment ... 0.00 μB per cell

abc: 5.3414 5.3414 5.3414
angles: 90.00 90.00 90.00
Closest atoms and distances in Å follow each position.
Space group Pm-3m (No. 221)
Asymmetric unit:
Y 0.0000 0.0000 0.0000 [1 per cell]  12 Bi 3.78
Si 0.5000 0.5000 0.5000 [1 per cell]  6 Bi 2.67
Bi 0.0000 0.5000 0.5000 [3 per cell]  2 Si 2.67

---

- Among the records above, which one has the highest magnetic moment?
  Na3AsH14SO10